--- a ---
Compound: Ta2Au2C
Source: the Alexandria database
Functional: PBE
Structure: relaxed

Calculated values
Crystal system = tetragonal
SG = I4/mmm, No. 139
Mass density = 14.384 g/cm3

a = 3.5123 Å, b = 3.5123 Å, c = 14.3715 Å
α = 90.00°, β = 90.00°, γ = 90.00°
Last column: nearest neighbours and their distance in Å.
Fractional positions:
Ta 0.0000 0.0000 0.0884  1 Ta 2.54, 4 C 2.79
Ta 0.0000 0.0000 0.9116  1 Ta 2.54, 4 C 2.79
Ta 0.5000 0.5000 0.4116  1 Ta 2.54, 4 C 2.79
Ta 0.5000 0.5000 0.5884  1 Ta 2.54, 4 C 2.79
Au 0.0000 0.5000 0.2500  4 Au 2.48
Au 0.0000 0.5000 0.7500  4 Au 2.48
Au 0.5000 0.0000 0.2500  4 Au 2.48
Au 0.5000 0.0000 0.7500  4 Au 2.48
C 0.0000 0.0000 0.5000  8 Ta 2.79
C 0.5000 0.5000 0.0000  8 Ta 2.79



--- b ---
Compound: Ta2Au2C
Source: the Alexandria database
Functional: PBE
Structure: relaxed

Calculated values
Crystal system = tetragonal
SG = P4/mbm, No. 127
Mass density = 15.424 g/cm3

a = 5.8156 Å, b = 5.8156 Å, c = 4.8882 Å
α = 90.00°, β = 90.00°, γ = 90.00°
Last column: nearest neighbours and their distance in Å.
Fractional positions:
Ta 0.1699 0.3301 0.0000  2 C 2.16
Ta 0.3301 0.8301 0.0000  2 C 2.16
Ta 0.6699 0.1699 0.0000  2 C 2.16
Ta 0.8301 0.6699 0.0000  2 C 2.16
Au 0.1625 0.6625 0.5000  1 Au 2.67, 2 Ta 2.81
Au 0.3375 0.1625 0.5000  1 Au 2.67, 2 Ta 2.81
Au 0.6625 0.8375 0.5000  1 Au 2.67, 2 Ta 2.81
Au 0.8375 0.3375 0.5000  1 Au 2.67, 2 Ta 2.81
C 0.0000 0.0000 0.0000  4 Ta 2.16
C 0.5000 0.5000 0.0000  4 Ta 2.16



Stability verdict: b, ahead by 1210 meV per atom



--- a ---
Compound: Ta2AuC2
Source: the Alexandria database
Functional: PBE
Structure: relaxed

Calculated values
Crystal system = tetragonal
SG = P4/mbm, No. 127
Mass density = 15.651 g/cm3

a = 6.4718 Å, b = 6.4718 Å, c = 2.9530 Å
α = 90.00°, β = 90.00°, γ = 90.00°
Last column: nearest neighbours and their distance in Å.
Fractional positions:
Ta 0.1488 0.3512 0.0000  6 C 2.39-2.43
Ta 0.3512 0.8512 0.0000  6 C 2.39-2.43
Ta 0.6488 0.1488 0.0000  6 C 2.39-2.43
Ta 0.8512 0.6488 0.0000  6 C 2.39-2.43
Au 0.0000 0.0000 0.5000  4 C 2.50
Au 0.5000 0.5000 0.5000  4 C 2.50
C 0.1406 0.6406 0.5000  6 Ta 2.39-2.43, 2 Au 2.50, 1 C 2.57
C 0.3594 0.1406 0.5000  6 Ta 2.39-2.43, 2 Au 2.50, 1 C 2.57
C 0.6406 0.8594 0.5000  6 Ta 2.39-2.43, 2 Au 2.50, 1 C 2.57
C 0.8594 0.3594 0.5000  6 Ta 2.39-2.43, 2 Au 2.50, 1 C 2.57



--- b ---
Compound: Ta2AuC2
Source: the Alexandria database
Functional: PBE
Structure: relaxed

Calculated values
Crystal system = tetragonal
SG = I4/mmm, No. 139
Mass density = 12.933 g/cm3

a = 4.3223 Å, b = 4.3223 Å, c = 8.0115 Å
α = 90.00°, β = 90.00°, γ = 90.00°
Last column: nearest neighbours and their distance in Å.
Fractional positions:
Ta 0.0000 0.5000 0.2500  4 C 2.17
Ta 0.0000 0.5000 0.7500  4 C 2.17
Ta 0.5000 0.0000 0.2500  4 C 2.17
Ta 0.5000 0.0000 0.7500  4 C 2.17
Au 0.0000 0.0000 0.0000  2 C 2.23
Au 0.5000 0.5000 0.5000  2 C 2.23
C 0.0000 0.0000 0.2784  4 Ta 2.17, 1 Au 2.23
C 0.0000 0.0000 0.7216  4 Ta 2.17, 1 Au 2.23
C 0.5000 0.5000 0.2216  4 Ta 2.17, 1 Au 2.23
C 0.5000 0.5000 0.7784  4 Ta 2.17, 1 Au 2.23



Stability verdict: b, ahead by 282 meV per atom



--- a ---
Compound: Tb3AuC
Source: the Alexandria database
Functional: PBE
Structure: relaxed

Calculated values
Crystal system = cubic
SG = Pm-3m, No. 221
Mass density = 9.816 g/cm3

a = 4.8770 Å, b = 4.8770 Å, c = 4.8770 Å
α = 90.00°, β = 90.00°, γ = 90.00°
Last column: nearest neighbours and their distance in Å.
Fractional positions:
Tb 0.0000 0.0000 0.5000  2 C 2.44
Tb 0.0000 0.5000 0.0000  2 C 2.44
Tb 0.5000 0.0000 0.0000  2 C 2.44
Au 0.5000 0.5000 0.5000  12 Tb 3.45
C 0.0000 0.0000 0.0000  6 Tb 2.44



--- b ---
Compound: Tb3AuC
Source: the Alexandria database
Functional: PBE
Structure: relaxed

Calculated values
Crystal system = orthorhombic
SG = Pnma, No. 62
Mass density = 9.931 g/cm3

a = 8.7207 Å, b = 3.6581 Å, c = 14.3771 Å
α = 90.00°, β = 90.00°, γ = 90.00°
Last column: nearest neighbours and their distance in Å.
Fractional positions:
Tb 0.0075 0.2500 0.1014  3 C 2.48-2.52
Tb 0.1772 0.2500 0.5260  2 C 2.54
Tb 0.1938 0.7500 0.3085  1 C 2.43
Tb 0.3062 0.2500 0.8085  1 C 2.43
Tb 0.3228 0.7500 0.0260  2 C 2.54
Tb 0.4925 0.7500 0.6014  3 C 2.48-2.52
Tb 0.5075 0.2500 0.3986  3 C 2.48-2.52
Tb 0.6772 0.2500 0.9740  2 C 2.54
Tb 0.6938 0.7500 0.1915  1 C 2.43
Tb 0.8062 0.2500 0.6915  1 C 2.43
Tb 0.8228 0.7500 0.4740  2 C 2.54
Tb 0.9925 0.7500 0.8986  3 C 2.48-2.52
Au 0.0945 0.7500 0.6865  7 Tb 3.03-3.18
Au 0.4055 0.2500 0.1865  7 Tb 3.03-3.18
Au 0.5945 0.7500 0.8135  7 Tb 3.03-3.18
Au 0.9055 0.2500 0.3135  7 Tb 3.03-3.18
C 0.1616 0.2500 0.9528  6 Tb 2.43-2.54
C 0.3384 0.7500 0.4528  6 Tb 2.43-2.54
C 0.6616 0.2500 0.5472  6 Tb 2.43-2.54
C 0.8384 0.7500 0.0472  6 Tb 2.43-2.54



Stability verdict: b, ahead by 116 meV per atom



--- a ---
Compound: Tc3AuC
Source: the Alexandria database
Functional: PBE
Structure: relaxed

Calculated values
Crystal system = cubic
SG = Pm-3m, No. 221
Mass density = 6.385 g/cm3

a = 5.0762 Å, b = 5.0762 Å, c = 5.0762 Å
α = 90.00°, β = 90.00°, γ = 90.00°
Last column: nearest neighbours and their distance in Å.
Fractional positions:
Tc 0.0000 0.0000 0.5000  2 Au 2.54
Tc 0.0000 0.5000 0.0000  2 Au 2.54
Tc 0.5000 0.0000 0.0000  2 Au 2.54
Au 0.0000 0.0000 0.0000  6 Tc 2.54
C 0.5000 0.5000 0.5000  12 Tc 3.59



--- b ---
Compound: Tc3AuC
Source: the Alexandria database
Functional: PBE
Structure: relaxed

Calculated values
Crystal system = cubic
SG = Pm-3m, No. 221
Mass density = 12.160 g/cm3

a = 4.0953 Å, b = 4.0953 Å, c = 4.0953 Å
α = 90.00°, β = 90.00°, γ = 90.00°
Last column: nearest neighbours and their distance in Å.
Fractional positions:
Tc 0.0000 0.0000 0.5000  2 C 2.05
Tc 0.0000 0.5000 0.0000  2 C 2.05
Tc 0.5000 0.0000 0.0000  2 C 2.05
Au 0.5000 0.5000 0.5000  12 Tc 2.90
C 0.0000 0.0000 0.0000  6 Tc 2.05



Stability verdict: b, ahead by 3260 meV per atom



--- a ---
Compound: Te3AuC
Source: the Alexandria database
Functional: PBE
Structure: relaxed

Calculated values
Crystal system = cubic
SG = Pm-3m, No. 221
Mass density = 6.064 g/cm3

a = 5.4519 Å, b = 5.4519 Å, c = 5.4519 Å
α = 90.00°, β = 90.00°, γ = 90.00°
Last column: nearest neighbours and their distance in Å.
Fractional positions:
Te 0.0000 0.0000 0.5000  2 Au 2.73
Te 0.0000 0.5000 0.0000  2 Au 2.73
Te 0.5000 0.0000 0.0000  2 Au 2.73
Au 0.0000 0.0000 0.0000  6 Te 2.73
C 0.5000 0.5000 0.5000  12 Te 3.86



--- b ---
Compound: Te3AuC
Source: the Alexandria database
Functional: PBE
Structure: relaxed

Calculated values
Crystal system = cubic
SG = Pm-3m, No. 221
Mass density = 8.912 g/cm3

a = 4.7953 Å, b = 4.7953 Å, c = 4.7953 Å
α = 90.00°, β = 90.00°, γ = 90.00°
Last column: nearest neighbours and their distance in Å.
Fractional positions:
Te 0.0000 0.0000 0.5000  2 C 2.40
Te 0.0000 0.5000 0.0000  2 C 2.40
Te 0.5000 0.0000 0.0000  2 C 2.40
Au 0.5000 0.5000 0.5000  12 Te 3.39
C 0.0000 0.0000 0.0000  6 Te 2.40



Stability verdict: b, ahead by 785 meV per atom



--- a ---
Compound: TeAu2C
Source: the Alexandria database
Functional: PBE
Structure: relaxed

Calculated values
Crystal system = cubic
SG = Fm-3m, No. 225
Mass density = 12.141 g/cm3

a = 6.6335 Å, b = 6.6335 Å, c = 6.6335 Å
α = 90.00°, β = 90.00°, γ = 90.00°
Last column: nearest neighbours and their distance in Å.
Fractional positions:
Te 0.0000 0.0000 0.0000  8 Au 2.87
Te 0.0000 0.5000 0.5000  8 Au 2.87
Te 0.5000 0.0000 0.5000  8 Au 2.87
Te 0.5000 0.5000 0.0000  8 Au 2.87
Au 0.2500 0.2500 0.2500  4 Te 2.87, 4 C 2.87
Au 0.2500 0.2500 0.7500  4 Te 2.87, 4 C 2.87
Au 0.2500 0.7500 0.2500  4 Te 2.87, 4 C 2.87
Au 0.2500 0.7500 0.7500  4 Te 2.87, 4 C 2.87
Au 0.7500 0.2500 0.2500  4 Te 2.87, 4 C 2.87
Au 0.7500 0.2500 0.7500  4 Te 2.87, 4 C 2.87
Au 0.7500 0.7500 0.2500  4 Te 2.87, 4 C 2.87
Au 0.7500 0.7500 0.7500  4 C 2.87, 4 Te 2.87
C 0.0000 0.0000 0.5000  8 Au 2.87
C 0.0000 0.5000 0.0000  8 Au 2.87
C 0.5000 0.0000 0.0000  8 Au 2.87
C 0.5000 0.5000 0.5000  8 Au 2.87



--- b ---
Compound: TeAu2C
Source: the Alexandria database
Functional: PBE
Structure: relaxed

Calculated values
Crystal system = tetragonal
SG = I-42d, No. 122
Mass density = 10.611 g/cm3

a = 5.0932 Å, b = 5.0932 Å, c = 12.8745 Å
α = 90.00°, β = 90.00°, γ = 90.00°
Last column: nearest neighbours and their distance in Å.
Fractional positions:
Te 0.0000 0.0000 0.0000  4 Au 2.82
Te 0.0000 0.5000 0.2500  4 Au 2.82
Te 0.5000 0.0000 0.7500  4 Au 2.82
Te 0.5000 0.5000 0.5000  4 Au 2.82
Au 0.1211 0.2500 0.6250  2 C 2.14
Au 0.2500 0.6211 0.8750  2 C 2.14
Au 0.2500 0.8789 0.3750  2 C 2.14
Au 0.3789 0.2500 0.1250  2 C 2.14
Au 0.6211 0.7500 0.1250  2 C 2.14
Au 0.7500 0.1211 0.3750  2 C 2.14
Au 0.7500 0.3789 0.8750  2 C 2.14
Au 0.8789 0.7500 0.6250  2 C 2.14
C 0.0000 0.0000 0.5000  4 Au 2.14
C 0.0000 0.5000 0.7500  4 Au 2.14
C 0.5000 0.0000 0.2500  4 Au 2.14
C 0.5000 0.5000 0.0000  4 Au 2.14



Stability verdict: b, ahead by 620 meV per atom



--- a ---
Compound: TeAu3C
Source: the Alexandria database
Functional: PBE
Structure: relaxed

Calculated values
Crystal system = cubic
SG = Pm-3m, No. 221
Mass density = 13.283 g/cm3

a = 4.5032 Å, b = 4.5032 Å, c = 4.5032 Å
α = 90.00°, β = 90.00°, γ = 90.00°
Last column: nearest neighbours and their distance in Å.
Fractional positions:
Te 0.0000 0.0000 0.0000  12 Au 3.18
Au 0.0000 0.5000 0.5000  2 C 2.25
Au 0.5000 0.0000 0.5000  2 C 2.25
Au 0.5000 0.5000 0.0000  2 C 2.25
C 0.5000 0.5000 0.5000  6 Au 2.25



--- b ---
Compound: TeAu3C
Source: the Alexandria database
Functional: PBE
Structure: relaxed

Calculated values
Crystal system = cubic
SG = Pm-3m, No. 221
Mass density = 8.223 g/cm3

a = 5.2838 Å, b = 5.2838 Å, c = 5.2838 Å
α = 90.00°, β = 90.00°, γ = 90.00°
Last column: nearest neighbours and their distance in Å.
Fractional positions:
Te 0.0000 0.0000 0.0000  6 Au 2.64
Au 0.0000 0.0000 0.5000  2 Te 2.64
Au 0.0000 0.5000 0.0000  2 Te 2.64
Au 0.5000 0.0000 0.0000  2 Te 2.64
C 0.5000 0.5000 0.5000  12 Au 3.74



Stability verdict: a, ahead by 930 meV per atom



--- a ---
Compound: Th5Au2C2
Source: the Alexandria database
Functional: PBE
Structure: relaxed

Calculated values
Crystal system = monoclinic
SG = C2/m, No. 12
Mass density = 10.808 g/cm3

a = 8.6325 Å, b = 8.6325 Å, c = 6.9230 Å
α = 99.82°, β = 99.82°, γ = 28.52°
Last column: nearest neighbours and their distance in Å.
Fractional positions:
Th 0.0000 0.0000 0.0000  4 Au 2.97, 2 C 3.09
Th 0.1206 0.1206 0.5807  1 C 2.34
Th 0.3216 0.3216 0.9078  3 C 2.45-2.46
Th 0.6784 0.6784 0.0922  3 C 2.45-2.46
Th 0.8794 0.8794 0.4193  1 C 2.34
Au 0.4900 0.4900 0.6973  1 Au 2.81, 2 Th 2.97
Au 0.5100 0.5100 0.3027  1 Au 2.81, 2 Th 2.97
C 0.1751 0.1751 0.9157  4 Th 2.34-2.46
C 0.8249 0.8249 0.0843  4 Th 2.34-2.46



--- b ---
Compound: Th5Au2C2
Source: the Alexandria database
Functional: PBE
Structure: relaxed

Calculated values
Crystal system = monoclinic
SG = C2/m, No. 12
Mass density = 11.988 g/cm3

a = 8.4056 Å, b = 8.4056 Å, c = 5.2444 Å
α = 98.07°, β = 98.07°, γ = 36.62°
Last column: nearest neighbours and their distance in Å.
Fractional positions:
Th 0.0000 0.0000 0.0000  2 C 2.55
Th 0.1678 0.1678 0.4780  2 C 2.61-2.64
Th 0.3271 0.3271 0.0496  3 C 2.65-2.67, 1 Au 2.96
Th 0.6729 0.6729 0.9504  3 C 2.65-2.67, 1 Au 2.96
Th 0.8322 0.8322 0.5220  2 C 2.61-2.64
Au 0.4353 0.4353 0.6365  1 Au 2.68, 1 Th 2.96
Au 0.5647 0.5647 0.3635  1 Au 2.68, 1 Th 2.96
C 0.1583 0.1583 0.9705  6 Th 2.55-2.67
C 0.8417 0.8417 0.0295  6 Th 2.55-2.67



Stability verdict: b, ahead by 79 meV per atom